Entry 1:
# Sr2LiCaAs, optimized geometry, DFT GGA-PBE
# formation energy: -0.449 eV per atom
data_Sr2LiCaAs
_chemical_formula_sum 'Sr2 Li1 Ca1 As1'
_space_group_name_H-M_alt 'P 4/m m m'
_space_group_IT_number 123
_space_group_name_Hall '-P 4 2'
_cell_length_a 6.0823
_cell_length_b 6.0823
_cell_length_c 5.6983
_cell_angle_alpha 90.00
_cell_angle_beta 90.00
_cell_angle_gamma 90.00
loop_
_atom_site_label
_atom_site_type_symbol
_atom_site_fract_x
_atom_site_fract_y
_atom_site_fract_z
Sr1 Sr 0.0000 0.5000 0.0000
Li1 Li 0.0000 0.0000 0.5000
Ca1 Ca 0.5000 0.5000 0.5000
As1 As 0.5000 0.5000 0.0000

---

Entry 2:
# LiCa2TcAs, optimized geometry, DFT GGA-PBE
# formation energy: 0.514 eV per atom
data_LiCa2TcAs
_chemical_formula_sum 'Li1 Ca2 Tc1 As1'
_space_group_name_H-M_alt 'P 4/m m m'
_space_group_IT_number 123
_space_group_name_Hall '-P 4 2'
_cell_length_a 5.3850
_cell_length_b 5.3850
_cell_length_c 4.2434
_cell_angle_alpha 90.00
_cell_angle_beta 90.00
_cell_angle_gamma 90.00
loop_
_atom_site_label
_atom_site_type_symbol
_atom_site_fract_x
_atom_site_fract_y
_atom_site_fract_z
Li1 Li 0.0000 0.0000 0.0000
Ca1 Ca 0.0000 0.5000 0.0000
Tc1 Tc 0.5000 0.5000 0.5000
As1 As 0.0000 0.0000 0.5000

---

Entry 3:
# LiCaTe2As, optimized geometry, DFT GGA-PBE
# formation energy without anion corrections: 0.399 eV per atom
data_LiCaTe2As
_chemical_formula_sum 'Li1 Ca1 Te2 As1'
_space_group_name_H-M_alt 'P 4/m m m'
_space_group_IT_number 123
_space_group_name_Hall '-P 4 2'
_cell_length_a 5.7036
_cell_length_b 5.7036
_cell_length_c 5.4278
_cell_angle_alpha 90.00
_cell_angle_beta 90.00
_cell_angle_gamma 90.00
loop_
_atom_site_label
_atom_site_type_symbol
_atom_site_fract_x
_atom_site_fract_y
_atom_site_fract_z
Li1 Li 0.0000 0.0000 0.0000
Ca1 Ca 0.0000 0.0000 0.5000
Te1 Te 0.0000 0.5000 0.5000
As1 As 0.5000 0.5000 0.0000

---

Entry 4:
# LiCaTiAs2, optimized geometry, DFT GGA-PBE
# energy above the most stable polymorph in this dataset: 0.0 meV per atom
# formation energy: 0.016 eV per atom
data_LiCaTiAs2
_chemical_formula_sum 'Li1 Ca1 Ti1 As2'
_space_group_name_H-M_alt 'P 4/m m m'
_space_group_IT_number 123
_space_group_name_Hall '-P 4 2'
_cell_length_a 4.7987
_cell_length_b 4.7987
_cell_length_c 4.4067
_cell_angle_alpha 90.00
_cell_angle_beta 90.00
_cell_angle_gamma 90.00
loop_
_atom_site_label
_atom_site_type_symbol
_atom_site_fract_x
_atom_site_fract_y
_atom_site_fract_z
Li1 Li 0.0000 0.0000 0.0000
Ca1 Ca 0.5000 0.5000 0.5000
Ti1 Ti 0.0000 0.0000 0.5000
As1 As 0.0000 0.5000 0.0000

---

Entry 5:
# LiCaTiAs2, optimized geometry, DFT GGA-PBE
# energy above the most stable polymorph in this dataset: 140.8 meV per atom
# formation energy: 0.157 eV per atom
data_LiCaTiAs2
_chemical_formula_sum 'Li1 Ca1 Ti1 As2'
_space_group_name_H-M_alt 'P 4/m m m'
_space_group_IT_number 123
_space_group_name_Hall '-P 4 2'
_cell_length_a 4.7789
_cell_length_b 4.7789
_cell_length_c 4.3972
_cell_angle_alpha 90.00
_cell_angle_beta 90.00
_cell_angle_gamma 90.00
loop_
_atom_site_label
_atom_site_type_symbol
_atom_site_fract_x
_atom_site_fract_y
_atom_site_fract_z
Li1 Li 0.0000 0.0000 0.0000
Ca1 Ca 0.0000 0.0000 0.5000
Ti1 Ti 0.5000 0.5000 0.5000
As1 As 0.0000 0.5000 0.0000

---

Entry 6:
# Li2CaTlAs, optimized geometry, DFT GGA-PBE
# formation energy: -0.430 eV per atom
data_Li2CaTlAs
_chemical_formula_sum 'Li2 Ca1 Tl1 As1'
_space_group_name_H-M_alt 'P 4/m m m'
_space_group_IT_number 123
_space_group_name_Hall '-P 4 2'
_cell_length_a 4.8863
_cell_length_b 4.8863
_cell_length_c 5.6793
_cell_angle_alpha 90.00
_cell_angle_beta 90.00
_cell_angle_gamma 90.00
loop_
_atom_site_label
_atom_site_type_symbol
_atom_site_fract_x
_atom_site_fract_y
_atom_site_fract_z
Li1 Li 0.0000 0.5000 0.0000
Ca1 Ca 0.0000 0.0000 0.5000
Tl1 Tl 0.5000 0.5000 0.5000
As1 As 0.0000 0.0000 0.0000

---

Entry 7:
# LiCa3U2As6, optimized geometry, DFT GGA-PBE
# formation energy: -0.887 eV per atom
data_LiCa3U2As6
_chemical_formula_sum 'Li2 Ca6 U4 As12'
_space_group_name_H-M_alt 'C 1 2/m 1'
_space_group_IT_number 12
_cell_length_a 7.2050
_cell_length_b 12.4804
_cell_length_c 7.1350
_cell_angle_alpha 90.00
_cell_angle_beta 109.55
_cell_angle_gamma 90.00
loop_
_space_group_symop_operation_xyz
'x,y,z'
'-x,-y,-z'
'-x,y,-z'
'x,-y,z'
'x+1/2,y+1/2,z'
'-x+1/2,-y+1/2,-z'
'-x+1/2,y+1/2,-z'
'x+1/2,-y+1/2,z'
loop_
_atom_site_label
_atom_site_type_symbol
_atom_site_fract_x
_atom_site_fract_y
_atom_site_fract_z
Li1 Li 0.0000 0.0000 0.0000
Ca1 Ca 0.0000 0.1609 0.5000
Ca2 Ca 0.0000 0.5000 0.5000
U1 U 0.0000 0.3325 0.0000
As1 As 0.2273 0.5000 0.2248
As2 As 0.2496 0.1745 0.2251

---

Entry 8:
# LiCa4U3As8, optimized geometry, DFT GGA-PBE
# formation energy: -0.891 eV per atom
data_LiCa4U3As8
_chemical_formula_sum 'Li3 Ca12 U9 As24'
_space_group_name_H-M_alt 'R -3 m'
_space_group_IT_number 166
_space_group_name_Hall '-R 3 2"'
_cell_length_a 8.2955
_cell_length_b 8.2955
_cell_length_c 20.3384
_cell_angle_alpha 90.00
_cell_angle_beta 90.00
_cell_angle_gamma 120.00
loop_
_atom_site_label
_atom_site_type_symbol
_atom_site_fract_x
_atom_site_fract_y
_atom_site_fract_z
Li1 Li 0.0000 0.0000 0.0000
Ca1 Ca 0.0000 0.0000 0.5000
Ca2 Ca 0.0000 0.5000 0.5000
U1 U 0.0000 0.5000 0.0000
As1 As 0.0000 0.0000 0.2562
As2 As 0.0095 0.5048 0.2588